# 1
CaBe2Ni | Alexandria via LeMat-Bulk | SCAN | single point on PBEsol structure; theoretical density = 3.23 g/cm³; space group = R-3m; magnetic moment = 0.00 μB/f.u.; offset from the most stable computed form = 0.0 meV per atom; raw total energy = -8.797 eV per atom
1.0
3.755 0.000 0.000
-1.877 3.252 0.000
0.000 0.000 14.761
Ca Be Ni
3 6 3
Direct
0.000 0.000 0.000
0.333 0.667 0.667
0.667 0.333 0.333
0.000 0.000 0.185
0.000 0.000 0.815
0.333 0.667 0.482
0.333 0.667 0.851
0.667 0.333 0.149
0.667 0.333 0.518
0.000 0.000 0.500
0.333 0.667 0.167
0.667 0.333 0.833

***

# 2
ZrCo2Pt | Alexandria via LeMat-Bulk | SCAN | single point on PBEsol structure; theoretical density = 11.79 g/cm³; space group = R-3m; magnetic moment = 3.80 μB/f.u.; raw total energy = -33.723 eV per atom
1.0
2.731 0.000 0.000
-1.365 2.365 0.000
0.000 0.000 26.442
Zr Co Pt
3 6 3
Direct
0.000 0.000 0.000
0.333 0.667 0.667
0.667 0.333 0.333
0.000 0.000 0.245
0.000 0.000 0.755
0.333 0.667 0.421
0.333 0.667 0.912
0.667 0.333 0.088
0.667 0.333 0.579
0.000 0.000 0.500
0.333 0.667 0.167
0.667 0.333 0.833

***

# 3
UVN2 | Alexandria via LeMat-Bulk | SCAN | single point on PBEsol structure; theoretical density = 11.90 g/cm³; space group = Pnma; magnetic moment = 0.97 μB/f.u.; ΔE_f (raw) = -1.393 eV/atom; raw total energy = -36.292 eV per atom
1.0
5.392 0.000 0.000
0.000 3.102 0.000
0.000 0.000 10.578
U V N
4 4 8
Direct
0.077 0.250 0.143
0.423 0.750 0.643
0.577 0.250 0.357
0.923 0.750 0.857
0.075 0.750 0.402
0.425 0.250 0.902
0.575 0.750 0.098
0.925 0.250 0.598
0.167 0.250 0.754
0.240 0.250 0.493
0.260 0.750 0.993
0.333 0.750 0.254
0.667 0.250 0.746
0.740 0.250 0.007
0.760 0.750 0.507
0.833 0.750 0.246

***

# 4
AgC3Br | Alexandria via LeMat-Bulk | SCAN | single point on PBEsol structure; theoretical density = 5.83 g/cm³; space group = Pm-3m; magnetic moment = 0.00 μB/f.u.; ΔE_f (raw) = 3.710 eV/atom; raw total energy = -12.515 eV per atom
1.0
3.994 0.000 0.000
0.000 3.994 0.000
0.000 0.000 3.994
Ag C Br
1 3 1
Direct
0.000 0.000 0.000
0.000 0.500 0.500
0.500 0.000 0.500
0.500 0.500 0.000
0.500 0.500 0.500

***

# 5
OsPt3 | Alexandria via LeMat-Bulk | SCAN | single point on PBEsol structure; theoretical density = 21.95 g/cm³; space group = Pmmm; magnetic moment = 0.00 μB/f.u.; raw total energy = -70.504 eV per atom
1.0
2.750 0.000 0.000
0.000 3.885 0.000
0.000 0.000 5.491
Os Pt
1 3
Direct
0.000 0.000 0.000
0.000 0.000 0.500
0.500 0.500 0.241
0.500 0.500 0.759

***

# 6
La2AlTl | Alexandria via LeMat-Bulk | SCAN | single point on PBEsol structure; theoretical density = 7.62 g/cm³; space group = Pmmm; magnetic moment = 0.02 μB/f.u.; raw total energy = -42.074 eV per atom
1.0
3.562 0.000 0.000
0.000 4.361 0.000
0.000 0.000 7.147
La Al Tl
2 1 1
Direct
0.000 0.000 0.235
0.000 0.000 0.765
0.500 0.500 0.000
0.500 0.500 0.500

***

# 7
Hf3MnH | Alexandria via LeMat-Bulk | SCAN | single point on PBEsol structure; theoretical density = 12.39 g/cm³; space group = Pm-3m; magnetic moment = 4.42 μB/f.u.; offset from the most stable computed form = 0.0 meV per atom; raw total energy = -42.078 eV per atom
1.0
4.296 0.000 0.000
0.000 4.296 0.000
0.000 0.000 4.296
Hf Mn H
3 1 1
Direct
0.000 0.000 0.500
0.000 0.500 0.000
0.500 0.000 0.000
0.500 0.500 0.500
0.000 0.000 0.000

***

# 8
LaFe2Br | Alexandria via LeMat-Bulk | SCAN | single point on PBEsol structure; theoretical density = 7.03 g/cm³; space group = F-43m; magnetic moment = 5.96 μB/f.u.; offset from the most stable computed form = 63.8 meV per atom; ΔE_f (raw) = 0.239 eV/atom; raw total energy = -24.467 eV per atom
1.0
6.784 0.000 0.000
0.000 6.784 0.000
0.000 0.000 6.784
La Fe Br
4 8 4
Direct
0.000 0.000 0.000
0.000 0.500 0.500
0.500 0.000 0.500
0.500 0.500 0.000
0.000 0.000 0.500
0.000 0.500 0.000
0.250 0.250 0.250
0.250 0.750 0.750
0.500 0.000 0.000
0.500 0.500 0.500
0.750 0.250 0.750
0.750 0.750 0.250
0.250 0.250 0.750
0.250 0.750 0.250
0.750 0.250 0.250
0.750 0.750 0.750

***

# 9
Al3PtPb | Alexandria via LeMat-Bulk | SCAN | single point on PBEsol structure; theoretical density = 7.29 g/cm³; space group = Pm-3m; magnetic moment = 0.00 μB/f.u.; raw total energy = -34.114 eV per atom
1.0
4.792 0.000 0.000
0.000 4.792 0.000
0.000 0.000 4.792
Al Pt Pb
3 1 1
Direct
0.000 0.000 0.500
0.000 0.500 0.000
0.500 0.000 0.000
0.000 0.000 0.000
0.500 0.500 0.500

***

# 10
CuAg3 | Alexandria via LeMat-Bulk | SCAN | single point on PBEsol structure; theoretical density = 10.41 g/cm³; space group = Pmm2; magnetic moment = 0.00 μB/f.u.; raw total energy = -27.223 eV per atom
1.0
2.796 0.000 0.000
0.000 4.558 0.000
0.000 0.000 4.844
Cu Ag
1 3
Direct
0.000 0.000 0.000
0.000 0.500 0.674
0.500 0.000 0.498
0.500 0.500 0.163

***

# 11
CaMgTe3 | Alexandria via LeMat-Bulk | SCAN | single point on PBEsol structure; theoretical density = 4.63 g/cm³; space group = Pm-3m; magnetic moment = 0.00 μB/f.u.; offset from the most stable computed form = 0.0 meV per atom; ΔE_f (raw) = -0.479 eV/atom; raw total energy = -25.757 eV per atom
1.0
5.432 0.000 0.000
0.000 5.432 0.000
0.000 0.000 5.432
Ca Mg Te
1 1 3
Direct
0.000 0.000 0.000
0.500 0.500 0.500
0.000 0.500 0.500
0.500 0.000 0.500
0.500 0.500 0.000

***

# 12
CdCu2Au | Alexandria via LeMat-Bulk | SCAN | single point on PBEsol structure; theoretical density = 12.08 g/cm³; space group = C2/m; magnetic moment = 0.00 μB/f.u.; raw total energy = -32.475 eV per atom
1.0
8.851 0.000 0.000
0.000 2.864 0.000
-0.950 0.000 4.733
Cd Cu Au
2 4 2
Direct
0.000 0.000 0.000
0.500 0.500 0.000
0.247 0.000 0.738
0.253 0.500 0.262
0.747 0.500 0.738
0.753 0.000 0.262
0.000 0.500 0.500
0.500 0.000 0.500

***

- Among the records above, which one has the highest theoretical density?
  OsPt3

***

- The highest theoretical density belongs to which entry?
  OsPt3

***

- Among the records above, which one has the highest theoretical density?
  OsPt3

***

- What is the raw total energy in the tenth record?
  -27.223 eV per atom